Here is an optimized crystal structure of HgPb2Se from Alexandria. Energies are from GGA-PBE.

DOS(E_F) ... 3.61 states/eV per cell
Crystal system ... monoclinic
E ... -2.92 eV/atom

Cell: 7.261 7.973 3.827 Å, 90.00 93.41 90.00°
Space group C2/m (No. 12)
Asymmetric unit:
Hg (0.000, 0.000, 0.000)
Pb (0.250, 0.250, 0.500)
Se (0.000, 0.500, 0.000)

=====

Here is an optimized crystal structure of Hg5Pb3Se12 from Alexandria. Energies are from GGA-PBE.

DOS(E_F) ... 206.54 states/eV per cell
Crystal system ... cubic
E ... -2.67 eV/atom

Cell: 16.789 16.789 16.789 Å, 90.00 90.00 90.00°
Space group Ia-3d (No. 230)
Asymmetric unit:
Hg (0.000, 0.000, 0.000)
Hg (0.000, 0.250, 0.375)
Pb (0.000, 0.250, 0.125)
Se (0.019, 0.065, 0.652)

=====

Here is an optimized crystal structure of HgPb2Se from Alexandria. Energies are from GGA-PBE.

DOS(E_F) ... 2.06 states/eV per cell
Crystal system ... tetragonal
E ... -2.98 eV/atom

Cell: 4.391 4.391 6.173 Å, 90.00 90.00 90.00°
Space group P4mm (No. 99)
Asymmetric unit:
Hg (0.000, 0.000, 0.000)
Pb (0.000, 0.000, 0.500)
Pb (0.500, 0.500, 0.002)
Se (0.500, 0.500, 0.501)

=====

Here is an optimized crystal structure of HgPbSe from Alexandria. Energies are from GGA-PBE.

DOS(E_F) ... 1.90 states/eV per cell
Crystal system ... monoclinic
E ... -2.83 eV/atom

Cell: 6.182 6.230 9.336 Å, 90.00 90.49 90.00°
Space group C2/m (No. 12)
Asymmetric unit:
Hg (0.250, 0.250, 0.000)
Pb (0.248, 0.000, 0.344)
Se (0.248, 0.500, 0.346)

=====

Here is an optimized crystal structure of HgPbSe from Alexandria. Energies are from GGA-PBE.

DOS(E_F) ... 1.38 states/eV per cell
Crystal system ... orthorhombic
E ... -2.70 eV/atom

Cell: 5.401 5.408 12.686 Å, 90.00 90.00 90.00°
Space group Fmm2 (No. 42)
Asymmetric unit:
Hg (0.000, 0.000, 0.000)
Pb (0.000, 0.000, 0.291)
Se (0.000, 0.000, 0.688)

=====

Here is an optimized crystal structure of HgPb2Se2 from Alexandria. Energies are from GGA-PBE.

DOS(E_F) ... 0.00 states/eV per cell
Crystal system ... tetragonal
E ... -3.23 eV/atom

Cell: 8.538 8.538 3.942 Å, 90.00 90.00 90.00°
Space group P4/mbm (No. 127)
Asymmetric unit:
Hg (0.000, 0.000, 0.000)
Pb (0.146, 0.354, 0.000)
Se (0.151, 0.651, 0.500)

=====

Here is an optimized crystal structure of Hg2PbSe2 from Alexandria. Energies are from GGA-PBE.

DOS(E_F) ... 1.35 states/eV per cell
Crystal system ... tetragonal
E ... -2.36 eV/atom

Cell: 4.177 4.177 16.402 Å, 90.00 90.00 90.00°
Space group I4/mmm (No. 139)
Asymmetric unit:
Hg (0.000, 0.500, 0.250)
Pb (0.000, 0.000, 0.000)
Se (0.000, 0.000, 0.422)

=====

Here is an optimized crystal structure of HgPb2Se from Alexandria. Energies are from GGA-PBE.

DOS(E_F) ... 2.98 states/eV per cell
Crystal system ... orthorhombic
E ... -2.91 eV/atom

Cell: 4.109 5.863 9.708 Å, 90.00 90.00 90.00°
Space group Immm (No. 71)
Asymmetric unit:
Hg (0.000, 0.000, 0.000)
Pb (0.000, 0.500, 0.226)
Se (0.000, 0.000, 0.500)

=====

Q: Which value of DOS(E_F) does entry 8 give?
A: 2.98 states/eV per cell

=====

Q: Which value of DOS(E_F) does entry 6 give?
A: 0.00 states/eV per cell

=====

Copy entry 7 word for word.
Here is an optimized crystal structure of Hg2PbSe2 from Alexandria. Energies are from GGA-PBE.

DOS(E_F) ... 1.35 states/eV per cell
Crystal system ... tetragonal
E ... -2.36 eV/atom

Cell: 4.177 4.177 16.402 Å, 90.00 90.00 90.00°
Space group I4/mmm (No. 139)
Asymmetric unit:
Hg (0.000, 0.500, 0.250)
Pb (0.000, 0.000, 0.000)
Se (0.000, 0.000, 0.422)

=====

Q: What is the DOS(E_F) in the third record?
A: 2.06 states/eV per cell